Mo2RuW | PBE | relaxed

**Energy of formation from the pure elements**: 0.271 eV/atom
**Space-group type**: R-3m

Unit cell a=9.566 b=9.566 c=9.566 alpha=16.64 beta=16.64 gamma=16.64
Atoms (fractional coordinates):
Mo 0.246 0.246 0.246
Mo 0.754 0.754 0.754
Ru 0.500 0.500 0.500
W 0.000 0.000 0.000